(1)
The following is a GGA-PBE calculation of Hf2Be2SiGe after structural relaxation, from OQMD.

The calculation puts the final energy at -6.84 eV/atom.

The space group is P-6m2 (No. 187) and the conventional cell measures 3.7342, 3.7342 and 7.1795 Å, with angles of 90.00, 90.00 and 120.00 degrees. The inequivalent atoms are Hf at (0.0000, 0.0000, 0.2441), Be at (0.3333, 0.6667, 0.0000), Be at (0.6667, 0.3333, 0.5000), Si at (0.6667, 0.3333, 0.0000) and Ge at (0.3333, 0.6667, 0.5000).

---

(2)
The following is a GGA-PBE calculation of Hf2Nb4Si3N3 after structural relaxation, from OQMD.

The calculation puts the final energy at -9.31 eV/atom.

The space group is C2/c (No. 15) and the conventional cell measures 9.603, 5.579 and 13.087 Å, with angles of 90.00, 103.98 and 90.00 degrees. The inequivalent atoms are Hf at (0.051, 0.085, 0.397), Nb at (0.113, 0.425, 0.589), Nb at (0.217, 0.413, 0.911), Si at (0.000, 0.456, 0.250), Si at (0.187, 0.105, 0.749), N at (0.076, 0.228, 0.000) and N at (0.250, 0.250, 0.500).

---

(3)
The following is a GGA-PBE calculation of TlFeB4 after structural relaxation, from OQMD.

The value obtained for the energy relative to the lowest polymorph listed for this composition is 0 meV/atom.

The space group is P6/mmm (No. 191) and the conventional cell measures 3.0085, 3.0085 and 8.6076 Å, with angles of 90.00, 90.00 and 120.00 degrees. The inequivalent atoms are Tl at (0.0000, 0.0000, 0.0000), Fe at (0.0000, 0.0000, 0.5000) and B at (0.3333, 0.6667, 0.3287).

---

(4)
The following is a GGA-PBE calculation of Ba2ZnIr after structural relaxation, from OQMD.

The calculation puts the final energy at -3.76 eV/atom.

The space group is R3m (No. 160, hexagonal axes) and the conventional cell measures 4.5014, 4.5014 and 25.5925 Å, with angles of 90.00, 90.00 and 120.00 degrees. The inequivalent atoms are Ba at (0.0000, 0.0000, 0.0000), Ba at (0.0000, 0.0000, 0.1621), Zn at (0.0000, 0.0000, 0.4144) and Ir at (0.0000, 0.0000, 0.7479).

---

(5)
The following is a GGA-PBE calculation of GdTeAs after structural relaxation, from OQMD.

The calculation puts the final energy at -4.65 eV/atom.

The space group is P6_3/mmc (No. 194) and the conventional cell measures 4.9421, 4.9421 and 7.3676 Å, with angles of 90.00, 90.00 and 120.00 degrees. The inequivalent atoms are Gd at (0.0000, 0.0000, 0.0000), Te at (0.3333, 0.6667, 0.2500) and As at (0.3333, 0.6667, 0.7500).

---

(6)
The following is a GGA-PBE calculation of HfBeW after structural relaxation, from OQMD.

The value obtained for the energy relative to the lowest polymorph listed for this composition is 0 meV/atom.

The space group is F-43m (No. 216) and the conventional cell measures 5.809, 5.809 and 5.809 Å, with angles of 90.00, 90.00 and 90.00 degrees. The inequivalent atoms are Hf at (0.000, 0.000, 0.000), Be at (0.250, 0.250, 0.250) and W at (0.000, 0.000, 0.500).